Entry from the Alexandria database: a relaxed TaTiCo crystal (GGA-PBE).

a b c (Å): 5.0935 5.0935 7.9196
angles (deg): 90.00 90.00 119.67
Element x y z (fractional)
Ti: 0.8342 0.1658 0.0000
Ti: 0.3392 0.1576 0.0000
Ti: 0.8424 0.6608 0.0000
Ti: 0.1485 0.8515 0.5000
Ta: 0.6781 0.3219 0.6828
Ta: 0.6781 0.3219 0.3172
Ta: 0.3470 0.6530 0.7948
Ta: 0.3470 0.6530 0.2052
Co: 0.1584 0.3601 0.5000
Co: 0.6399 0.8416 0.5000
Co: 0.9937 0.0063 0.7506
Co: 0.9937 0.0063 0.2494

Its symmetry is No. 38. Its energy above the most stable polymorph in this dataset is 95 meV/atom. As for the total energy: -109.26 eV per cell. The calculated formation energy comes out at -0.154 eV per atom.

=====

Entry from the Alexandria database: a relaxed TaTiCo5 crystal (GGA-PBE).

a b c (Å): 3.8721 3.8721 6.1123
angles (deg): 90.00 90.00 90.00
Last column: magnetic moment on the atom in μB.
Element x y z (fractional)
Co: 0.0000 0.5000 0.2316  0.56
Co: 0.0000 0.5000 0.7684  0.56
Co: 0.5000 0.5000 0.5000  1.36
Co: 0.5000 0.0000 0.2316  0.56
Co: 0.5000 0.0000 0.7684  0.56
Ta: 0.0000 0.0000 0.5000  -0.20
Ti: 0.5000 0.5000 0.0000  -0.26

Its symmetry is No. 123. As for the total energy: -54.74 eV per cell. The calculated formation energy comes out at 0.077 eV per atom.

=====

Entry from the Alexandria database: a relaxed Ta2TiCo crystal (GGA-PBE).

a b c (Å): 4.4407 4.4407 4.4407
angles (deg): 60.00 60.00 60.00
Element x y z (fractional)
Co: 0.5000 0.5000 0.5000
Ta: 0.7500 0.7500 0.7500
Ta: 0.2500 0.2500 0.2500
Ti: 0.0000 0.0000 0.0000

Its symmetry is No. 225. Its energy above the most stable polymorph in this dataset is 140 meV/atom. As for the total energy: -38.58 eV per cell. The calculated formation energy comes out at 0.032 eV per atom.

=====

Entry from the Alexandria database: a relaxed TaTiCo6 crystal (GGA-PBE).

a b c (Å): 6.2817 6.2817 10.2519
angles (deg): 90.00 90.00 109.40
Last column: magnetic moment on the atom in μB.
Element x y z (fractional)
Ta: 0.0000 0.0000 0.2489  -0.28
Ta: 0.2485 0.7515 0.5000  -0.26
Ta: 0.7515 0.2485 0.5000  -0.26
Ta: 0.0000 0.0000 0.7511  -0.28
Co: 0.5000 0.5000 0.5000  0.88
Co: 0.1282 0.3765 0.3736  0.78
Co: 0.3787 0.1269 0.1236  0.98
Co: 0.1269 0.3787 0.1236  0.98
Co: 0.7485 0.2515 0.7523  0.87
Co: 0.2515 0.7485 0.2477  0.87
Co: 0.3765 0.1282 0.6264  0.78
Co: 0.6235 0.8718 0.3736  0.78
Co: 0.8731 0.6213 0.1236  0.98
Co: 0.2515 0.7485 0.7523  0.87
Co: 0.7485 0.2515 0.2477  0.87
Co: 0.0000 0.0000 0.5000  0.63
Co: 0.6213 0.8731 0.8764  0.98
Co: 0.1282 0.3765 0.6264  0.78
Co: 0.0000 0.0000 0.0000  0.84
Co: 0.3787 0.1269 0.8764  0.98
Co: 0.6213 0.8731 0.1236  0.98
Co: 0.8718 0.6235 0.3736  0.78
Co: 0.8718 0.6235 0.6264  0.78
Co: 0.1269 0.3787 0.8764  0.98
Co: 0.3765 0.1282 0.3736  0.78
Co: 0.6235 0.8718 0.6264  0.78
Co: 0.8731 0.6213 0.8764  0.98
Co: 0.5000 0.5000 0.0000  1.12
Ti: 0.2475 0.7525 0.0000  -0.44
Ti: 0.7525 0.2475 0.0000  -0.44
Ti: 0.5000 0.5000 0.7505  -0.42
Ti: 0.5000 0.5000 0.2495  -0.42

Its symmetry is No. 65. As for the total energy: -257.25 eV per cell. The calculated formation energy comes out at -0.241 eV per atom.

=====

Entry from the Alexandria database: a relaxed Ta2Ti3Co2 crystal (GGA-PBE).

a b c (Å): 2.9762 5.3950 7.4226
angles (deg): 72.40 78.43 73.99
Element x y z (fractional)
Ti: 0.3894 0.7756 0.4456
Ti: 0.6106 0.2244 0.5544
Ti: 0.5000 0.0000 0.0000
Ta: 0.8446 0.4846 0.8262
Ta: 0.1554 0.5154 0.1738
Co: 0.1635 0.9107 0.7624
Co: 0.8365 0.0893 0.2376

Its symmetry is No. 12. As for the total energy: -62.98 eV per cell. The calculated formation energy comes out at -0.197 eV per atom.

=====

Entry from the Alexandria database: a relaxed TaTi8Co2 crystal (GGA-PBE).

a b c (Å): 5.3459 6.6480 6.6480
angles (deg): 49.80 95.94 95.94
Element x y z (fractional)
Ti: 0.9043 0.5866 0.5866
Ti: 0.1609 0.7972 0.7972
Ti: 0.4114 0.8506 0.3734
Ti: 0.4114 0.3734 0.8506
Ti: 0.5886 0.1494 0.6266
Ti: 0.8391 0.2028 0.2028
Ti: 0.0957 0.4134 0.4134
Ti: 0.5886 0.6266 0.1494
Co: 0.2845 0.2519 0.2519
Co: 0.7155 0.7481 0.7481
Ta: 0.0000 0.0000 0.0000

Its symmetry is No. 12. As for the total energy: -89.23 eV per cell. The calculated formation energy comes out at 0.000 eV per atom.

=====

Entry from the Alexandria database: a relaxed Ta3TiCo crystal (GGA-PBE).

a b c (Å): 2.9085 7.5118 7.9850
angles (deg): 105.24 90.00 90.00
Element x y z (fractional)
Ta: 0.6955 0.3896 0.3904
Ta: 0.1955 0.3753 0.7383
Ta: 0.6955 0.0462 0.8157
Ta: 0.1955 0.0320 0.1636
Ta: 0.6955 0.6846 0.1140
Ta: 0.1955 0.7370 0.4400
Co: 0.6955 0.6334 0.6739
Co: 0.1955 0.7882 0.8802
Ti: 0.6955 0.0676 0.4790
Ti: 0.1955 0.3539 0.0751

Its symmetry is No. 11. Its energy above the most stable polymorph in this dataset is 0 meV/atom. As for the total energy: -99.64 eV per cell. The calculated formation energy comes out at 0.148 eV per atom.

=====

Entry from the Alexandria database: a relaxed Ta2TiCo crystal (GGA-PBE).

a b c (Å): 3.0199 5.3449 8.5981
angles (deg): 90.00 90.00 110.20
Element x y z (fractional)
Ta: 0.5975 0.2631 0.0478
Ta: 0.4025 0.7369 0.5478
Ta: 0.5975 0.2631 0.4522
Ta: 0.4025 0.7369 0.9522
Ti: 0.0768 0.1589 0.7500
Ti: 0.9232 0.8411 0.2500
Co: 0.2196 0.4501 0.2500
Co: 0.7804 0.5499 0.7500

Its symmetry is No. 11. Its energy above the most stable polymorph in this dataset is 0 meV/atom. As for the total energy: -78.28 eV per cell. The calculated formation energy comes out at -0.108 eV per atom.

=====

Entry from the Alexandria database: a relaxed TaTi5Co6 crystal (GGA-PBE).

a b c (Å): 4.1964 6.0991 6.6409
angles (deg): 90.00 108.55 90.00
Last column: magnetic moment on the atom in μB.
Element x y z (fractional)
Ti: 0.6679 0.0000 0.3358  0.02
Ti: 0.0000 0.5000 0.0000  -0.04
Ti: 0.3321 0.0000 0.6642  0.02
Ti: 0.3331 0.5000 0.6660  -0.05
Ti: 0.6669 0.5000 0.3340  -0.05
Co: 0.1672 0.2538 0.3349  0.84
Co: 0.5000 0.2561 0.0000  0.86
Co: 0.5000 0.7439 0.0000  0.86
Co: 0.8328 0.7462 0.6651  0.84
Co: 0.8328 0.2538 0.6651  0.84
Co: 0.1672 0.7462 0.3349  0.84
Ta: 0.0000 0.0000 0.0000  0.04

Its symmetry is No. 10. As for the total energy: -98.01 eV per cell. The calculated formation energy comes out at -0.337 eV per atom.

=====

Entry from the Alexandria database: a relaxed TaTi2Co3 crystal (GGA-PBE).

a b c (Å): 2.9181 2.9181 9.4357
angles (deg): 90.00 90.00 90.00
Last column: magnetic moment on the atom in μB.
Element x y z (fractional)
Ti: 0.5000 0.5000 0.1618  -0.01
Ti: 0.5000 0.5000 0.8382  -0.01
Ta: 0.5000 0.5000 0.5000  0.01
Co: 0.0000 0.0000 0.3066  0.13
Co: 0.0000 0.0000 0.0000  -0.11
Co: 0.0000 0.0000 0.6934  0.13

Its symmetry is No. 123. Its energy above the most stable polymorph in this dataset is 5 meV/atom. As for the total energy: -50.83 eV per cell. The calculated formation energy comes out at -0.312 eV per atom.

=====

Entry from the Alexandria database: a relaxed Ta3TiCo crystal (GGA-PBE).

a b c (Å): 4.6183 4.6183 4.6183
angles (deg): 90.00 90.00 90.00
Element x y z (fractional)
Ta: 0.0000 0.5000 0.0000
Ta: 0.5000 0.0000 0.0000
Ta: 0.0000 0.0000 0.5000
Co: 0.5000 0.5000 0.5000
Ti: 0.0000 0.0000 0.0000

Its symmetry is No. 221. Its energy above the most stable polymorph in this dataset is 1603 meV/atom. As for the total energy: -41.80 eV per cell. The calculated formation energy comes out at 1.751 eV per atom.

=====

Entry from the Alexandria database: a relaxed TaTi6Co crystal (GGA-PBE).

a b c (Å): 5.9469 5.9469 5.4700
angles (deg): 117.43 117.43 100.70
Last column: magnetic moment on the atom in μB.
Element x y z (fractional)
Ti: 0.2402 0.2402 0.7401  0.02
Ti: 0.2798 0.7203 0.2508  0.03
Ti: 0.7598 0.7598 0.2599  0.02
Ti: 0.7203 0.2798 0.2508  0.03
Ti: 0.2797 0.7202 0.7492  0.03
Ti: 0.7202 0.2797 0.7492  0.03
Ta: 0.0000 0.0000 0.0000  0.00
Co: 0.5000 0.5000 0.5000  0.44

Its symmetry is No. 12. As for the total energy: -65.64 eV per cell. The calculated formation energy comes out at 0.087 eV per atom.